[1]
{"formula": "SrHo2P", "functional": "GGA-PBE", "state": "optimized geometry", "space_group": "R-3m, No. 166", "delta_e_f_mev_per_atom": -580, "lattice_angstrom": [[3.876, 0.000, 0.000], [1.938, 3.356, 0.000], [1.938, 1.119, 10.331]], "species": ["Ho", "Ho", "Sr", "P"], "fractional_positions": [[0.117, 0.117, 0.650], [0.883, 0.883, 0.350], [0.000, 0.000, 0.000], [0.500, 0.500, 0.500]]}

[2]
{"formula": "Pr3NdIr3", "functional": "GGA-PBE", "state": "optimized geometry", "space_group": "C2/m, No. 12", "delta_e_f_mev_per_atom": -481, "lattice_angstrom": [[-0.122, -0.229, -7.356], [2.486, -6.850, -1.037], [-6.145, -3.569, -1.204]], "species": ["Nd", "Nd", "Ir", "Ir", "Ir", "Ir", "Ir", "Ir", "Pr", "Pr", "Pr", "Pr", "Pr", "Pr"], "fractional_positions": [[0.783, 0.783, 0.961], [0.217, 0.217, 0.039], [0.949, 0.949, 0.214], [0.051, 0.051, 0.786], [0.488, 0.985, 0.734], [0.512, 0.015, 0.266], [0.015, 0.512, 0.266], [0.985, 0.488, 0.734], [0.809, 0.191, 0.500], [0.726, 0.274, 0.000], [0.274, 0.726, 0.000], [0.702, 0.702, 0.507], [0.191, 0.809, 0.500], [0.298, 0.298, 0.493]]}

[3]
{"formula": "Ca3Y3CuTe8", "functional": "GGA-PBE", "state": "optimized geometry", "space_group": "C2/m, No. 12", "formation_energy_uncorrected_ev_per_atom": -1.2525, "lattice_angstrom": [[-2.070, 8.140, -2.512], [-2.058, -6.819, -5.101], [-4.379, 1.241, 7.628]], "species": ["Te", "Te", "Te", "Te", "Te", "Te", "Te", "Te", "Cu", "Ca", "Ca", "Ca", "Y", "Y", "Y"], "fractional_positions": [[0.252, 0.504, 0.255], [0.763, 0.526, 0.270], [0.761, 0.007, 0.269], [0.237, 0.474, 0.730], [0.754, 0.993, 0.731], [0.239, 0.993, 0.731], [0.748, 0.496, 0.745], [0.246, 0.007, 0.269], [0.000, 0.000, 0.500], [0.500, 0.500, 0.000], [0.000, 0.500, 0.000], [0.000, 0.000, 0.000], [0.000, 0.500, 0.500], [0.500, 0.000, 0.500], [0.500, 0.500, 0.500]]}

[4]
{"formula": "K2NdDySe4", "functional": "GGA-PBE", "state": "optimized geometry", "space_group": "P2/m, No. 10", "formation_energy_uncorrected_ev_per_atom": -1.7557, "lattice_angstrom": [[-0.668, 1.027, 4.104], [-7.269, 0.631, -1.342], [1.460, -7.654, 2.153]], "species": ["K", "K", "Dy", "Nd", "Se", "Se", "Se", "Se"], "fractional_positions": [[0.500, 0.000, 0.500], [0.000, 0.500, 0.500], [0.500, 0.500, 0.000], [0.000, 0.000, 0.000], [0.500, 0.756, 0.790], [0.000, 0.272, 0.794], [0.500, 0.244, 0.210], [0.000, 0.728, 0.206]]}

[5]
{"formula": "Th2ZnNi9", "functional": "GGA-PBE", "state": "optimized geometry", "space_group": "R-3m, No. 166", "delta_e_f_mev_per_atom": -221, "lattice_angstrom": [[4.937, 0.000, 0.000], [2.468, 4.276, 0.000], [2.468, 1.425, 8.238]], "species": ["Ni", "Ni", "Ni", "Ni", "Ni", "Ni", "Ni", "Ni", "Ni", "Th", "Th", "Zn"], "fractional_positions": [[0.419, 0.920, 0.242], [0.500, 0.500, 0.500], [0.333, 0.333, 0.001], [0.667, 0.667, 0.999], [0.080, 0.581, 0.758], [0.581, 0.080, 0.758], [0.920, 0.419, 0.242], [0.581, 0.581, 0.758], [0.419, 0.419, 0.242], [0.868, 0.868, 0.395], [0.132, 0.132, 0.605], [0.000, 0.000, 0.000]]}

[6]
{"formula": "Dy2MgNb", "functional": "GGA-PBE", "state": "optimized geometry", "space_group": "P4/mmm, No. 123", "relative_energy_mev_per_atom": 0, "delta_e_f_mev_per_atom": 143, "lattice_angstrom": [[-2.856, 0.031, 1.689], [-0.883, -2.855, -1.442], [4.033, -4.735, 6.906]], "species": ["Dy", "Dy", "Mg", "Nb"], "fractional_positions": [[0.000, 0.000, 0.231], [0.000, 0.000, 0.769], [0.500, 0.500, 0.500], [0.500, 0.500, 0.000]]}

[7]
{"formula": "La6Co13Sb", "functional": "GGA-PBE", "state": "optimized geometry", "space_group": "I4/mcm, No. 140", "formation_energy_uncorrected_ev_per_atom": -0.2048, "lattice_angstrom": [[12.905, -0.001, 0.000], [7.846, 10.246, 0.000], [-10.375, -5.123, 5.714]], "species": ["Co", "Co", "Co", "Co", "Co", "Co", "Co", "Co", "Co", "Co", "Co", "Co", "Co", "Co", "Co", "Co", "Co", "Co", "Co", "Co", "Co", "Co", "Co", "Co", "Co", "Co", "La", "La", "La", "La", "La", "La", "La", "La", "La", "La", "La", "La", "Sb", "Sb"], "fractional_positions": [[0.974, 0.474, 0.272], [0.798, 0.298, 0.272], [0.121, 0.268, 0.500], [0.935, 0.214, 0.149], [0.732, 0.232, 0.853], [0.500, 0.000, 0.500], [0.526, 0.798, 0.500], [0.786, 0.935, 0.720], [0.702, 0.974, 0.500], [0.232, 0.379, 0.500], [0.298, 0.026, 0.500], [0.768, 0.621, 0.500], [0.065, 0.786, 0.851], [0.379, 0.879, 0.147], [0.474, 0.202, 0.500], [0.714, 0.435, 0.149], [0.879, 0.732, 0.500], [0.202, 0.702, 0.728], [0.286, 0.565, 0.851], [0.026, 0.526, 0.728], [0.268, 0.768, 0.147], [0.000, 0.500, 0.500], [0.621, 0.121, 0.853], [0.435, 0.286, 0.720], [0.565, 0.714, 0.280], [0.214, 0.065, 0.280], [0.019, 0.841, 0.500], [0.481, 0.981, 0.822], [0.519, 0.019, 0.178], [0.600, 0.600, 0.000], [0.981, 0.159, 0.500], [0.159, 0.659, 0.178], [0.900, 0.900, 0.000], [0.100, 0.100, 0.000], [0.341, 0.519, 0.500], [0.659, 0.481, 0.500], [0.400, 0.400, 0.000], [0.841, 0.341, 0.822], [0.750, 0.750, 0.000], [0.250, 0.250, 0.000]]}

[8]
{"formula": "CsTl2I2", "functional": "GGA-PBE", "state": "optimized geometry", "space_group": "P4/mbm, No. 127", "relative_energy_mev_per_atom": 174, "formation_energy_uncorrected_ev_per_atom": -0.5944, "lattice_angstrom": [[9.957, 0.000, 0.000], [0.000, 9.957, 0.000], [0.000, 0.000, 4.966]], "species": ["Cs", "Cs", "Tl", "Tl", "Tl", "Tl", "I", "I", "I", "I"], "fractional_positions": [[0.500, 0.500, 0.000], [0.000, 0.000, 0.000], [0.114, 0.614, 0.500], [0.886, 0.386, 0.500], [0.614, 0.886, 0.500], [0.386, 0.114, 0.500], [0.846, 0.654, 0.000], [0.654, 0.154, 0.000], [0.346, 0.846, 0.000], [0.154, 0.346, 0.000]]}

[9]
{"formula": "Ga3Pd3Pt2", "functional": "GGA-PBE", "state": "optimized geometry", "space_group": "Immm, No. 71", "relative_energy_mev_per_atom": 31, "delta_e_f_mev_per_atom": -543, "lattice_angstrom": [[-2.072, -1.425, -2.479], [-1.861, -2.395, 2.931], [-3.601, 7.792, 1.046]], "species": ["Pt", "Pt", "Ga", "Ga", "Ga", "Pd", "Pd", "Pd"], "fractional_positions": [[0.743, 0.243, 0.485], [0.257, 0.757, 0.515], [0.000, 0.500, 0.000], [0.866, 0.866, 0.733], [0.134, 0.134, 0.267], [0.385, 0.385, 0.771], [0.500, 0.000, 0.000], [0.615, 0.615, 0.229]]}

[10]
{"formula": "LaTbHoEr2", "functional": "GGA-PBE", "state": "optimized geometry", "space_group": "Cmcm, No. 63", "delta_e_f_mev_per_atom": 362, "lattice_angstrom": [[-5.183, -5.014, -0.179], [3.622, -3.974, 6.458], [-4.946, 5.097, 0.443]], "species": ["La", "La", "Tb", "Tb", "Ho", "Ho", "Er", "Er", "Er", "Er"], "fractional_positions": [[0.250, 0.732, 0.465], [0.750, 0.268, 0.535], [0.750, 0.000, 0.999], [0.250, 0.000, 0.001], [0.250, 0.282, 0.563], [0.750, 0.718, 0.437], [0.500, 0.689, 0.000], [0.000, 0.311, 0.000], [0.000, 0.689, 0.000], [0.500, 0.311, 0.000]]}

[11]
{"formula": "Y2Ho3Mg", "functional": "GGA-PBE", "state": "optimized geometry", "space_group": "C2/c, No. 15", "relative_energy_mev_per_atom": 0, "delta_e_f_mev_per_atom": 133, "lattice_angstrom": [[5.837, 2.028, -4.386], [-1.423, 7.415, -0.642], [-1.599, -1.291, 9.490]], "species": ["Y", "Y", "Y", "Y", "Mg", "Mg", "Ho", "Ho", "Ho", "Ho", "Ho", "Ho"], "fractional_positions": [[0.737, 0.604, 0.806], [0.701, 0.069, 0.306], [0.299, 0.931, 0.694], [0.263, 0.396, 0.194], [0.072, 0.322, 0.750], [0.928, 0.678, 0.250], [0.685, 0.288, 0.015], [0.804, 0.054, 0.750], [0.773, 0.671, 0.485], [0.196, 0.946, 0.250], [0.315, 0.712, 0.985], [0.227, 0.329, 0.515]]}

[12]
{"formula": "Sc4ZnNi3", "functional": "GGA-PBE", "state": "optimized geometry", "space_group": "P4/mmm, No. 123", "delta_e_f_mev_per_atom": -455, "lattice_angstrom": [[4.541, 0.000, 0.000], [0.000, 6.442, 0.000], [0.000, 0.000, 9.081]], "species": ["Ni", "Ni", "Ni", "Ni", "Ni", "Ni", "Sc", "Sc", "Sc", "Sc", "Sc", "Sc", "Sc", "Sc", "Zn", "Zn"], "fractional_positions": [[0.500, 0.500, 0.250], [0.500, 0.000, 0.250], [0.000, 0.000, 0.000], [0.500, 0.000, 0.750], [0.500, 0.500, 0.750], [0.000, 0.000, 0.500], [0.000, 0.758, 0.750], [0.000, 0.242, 0.750], [0.500, 0.242, 0.000], [0.000, 0.758, 0.250], [0.500, 0.758, 0.500], [0.500, 0.242, 0.500], [0.000, 0.242, 0.250], [0.500, 0.758, 0.000], [0.000, 0.500, 0.500], [0.000, 0.500, 0.000]]}

[13]
{"formula": "LaVCrAg2", "functional": "GGA-PBE", "state": "optimized geometry", "space_group": "P4/mmm, No. 123", "delta_e_f_mev_per_atom": 1110, "lattice_angstrom": [[5.009, 0.000, 0.000], [0.000, 5.112, 0.000], [0.000, 0.000, 5.009]], "species": ["Cr", "Ag", "Ag", "V", "La"], "fractional_positions": [[0.000, 0.000, 0.000], [0.500, 0.000, 0.000], [0.000, 0.000, 0.500], [0.500, 0.500, 0.500], [0.000, 0.500, 0.000]]}

[14]
{"formula": "Cd12InHg7", "functional": "GGA-PBE", "state": "optimized geometry", "space_group": "R-3, No. 148", "relative_energy_mev_per_atom": 11, "delta_e_f_mev_per_atom": 41, "lattice_angstrom": [[8.846, -0.417, -0.627], [-2.861, 8.381, -0.627], [-2.861, -3.806, 7.493]], "species": ["Hg", "Hg", "Hg", "Hg", "Hg", "Hg", "Hg", "In", "Cd", "Cd", "Cd", "Cd", "Cd", "Cd", "Cd", "Cd", "Cd", "Cd", "Cd", "Cd"], "fractional_positions": [[0.928, 0.839, 0.599], [0.599, 0.928, 0.839], [0.401, 0.072, 0.161], [0.839, 0.599, 0.928], [0.500, 0.500, 0.500], [0.161, 0.401, 0.072], [0.072, 0.161, 0.401], [0.000, 0.000, 0.000], [0.114, 0.821, 0.357], [0.483, 0.810, 0.418], [0.821, 0.357, 0.114], [0.357, 0.114, 0.821], [0.886, 0.179, 0.643], [0.179, 0.643, 0.886], [0.517, 0.190, 0.582], [0.582, 0.517, 0.190], [0.190, 0.582, 0.517], [0.418, 0.483, 0.810], [0.810, 0.418, 0.483], [0.643, 0.886, 0.179]]}

[15]
{"formula": "SrPr2GeN4", "functional": "GGA-PBE", "state": "optimized geometry", "space_group": "Cmcm, No. 63", "formation_energy_uncorrected_ev_per_atom": -0.8342, "lattice_angstrom": [[-1.287, 1.259, -3.074], [-4.277, -4.390, 2.056], [-6.054, 8.767, 6.126]], "species": ["Ge", "Ge", "N", "N", "N", "N", "N", "N", "N", "N", "Sr", "Sr", "Pr", "Pr", "Pr", "Pr"], "fractional_positions": [[0.819, 0.638, 0.750], [0.181, 0.362, 0.250], [0.265, 0.530, 0.374], [0.589, 0.177, 0.250], [0.735, 0.470, 0.626], [0.265, 0.530, 0.126], [0.411, 0.823, 0.750], [0.735, 0.470, 0.874], [0.000, 0.000, 0.500], [0.000, 0.000, 0.000], [0.906, 0.813, 0.250], [0.094, 0.187, 0.750], [0.631, 0.261, 0.460], [0.631, 0.261, 0.040], [0.369, 0.739, 0.540], [0.369, 0.739, 0.960]]}

[16]
{"formula": "CdGa2TeO6", "functional": "GGA-PBE", "state": "optimized geometry", "space_group": "C2/c, No. 15", "formation_energy_uncorrected_ev_per_atom": -1.4403, "lattice_angstrom": [[5.774, -0.256, -0.266], [1.552, 6.797, 0.350], [1.552, 0.098, 6.806]], "species": ["O", "O", "O", "O", "O", "O", "O", "O", "O", "O", "O", "O", "Cd", "Cd", "Ga", "Ga", "Ga", "Ga", "Te", "Te"], "fractional_positions": [[0.908, 0.366, 0.870], [0.158, 0.015, 0.773], [0.092, 0.634, 0.130], [0.956, 0.726, 0.602], [0.408, 0.870, 0.366], [0.456, 0.602, 0.726], [0.044, 0.274, 0.398], [0.842, 0.985, 0.227], [0.342, 0.227, 0.985], [0.658, 0.773, 0.015], [0.544, 0.398, 0.274], [0.592, 0.130, 0.634], [0.250, 0.908, 0.092], [0.750, 0.092, 0.908], [0.752, 0.204, 0.388], [0.748, 0.612, 0.796], [0.248, 0.796, 0.612], [0.252, 0.388, 0.204], [0.750, 0.718, 0.282], [0.250, 0.282, 0.718]]}

[17]
{"formula": "TlTePb2", "functional": "GGA-PBE", "state": "optimized geometry", "space_group": "I4/mmm, No. 139", "relative_energy_mev_per_atom": 46, "formation_energy_uncorrected_ev_per_atom": -0.0523, "lattice_angstrom": [[-6.028, 0.372, 1.995], [-4.282, -2.188, -4.163], [5.418, -2.238, 2.467]], "species": ["Pb", "Pb", "Tl", "Te"], "fractional_positions": [[0.500, 0.500, 0.000], [0.000, 0.000, 0.000], [0.750, 0.250, 0.500], [0.250, 0.750, 0.500]]}

[18]
{"formula": "LiCu2SbPd", "functional": "GGA-PBE", "state": "optimized geometry", "space_group": "P4/mmm, No. 123", "formation_energy_uncorrected_ev_per_atom": 0.2712, "lattice_angstrom": [[4.835, 0.000, 0.000], [0.000, 5.084, 0.000], [0.000, 0.000, 4.835]], "species": ["Cu", "Cu", "Pd", "Li", "Sb"], "fractional_positions": [[0.500, 0.000, 0.000], [0.000, 0.000, 0.500], [0.000, 0.500, 0.000], [0.500, 0.500, 0.500], [0.000, 0.000, 0.000]]}

[19]
{"formula": "NaCdSb", "functional": "GGA-PBE", "state": "optimized geometry", "space_group": "Pmm2, No. 25", "formation_energy_uncorrected_ev_per_atom": -0.2656, "lattice_angstrom": [[-4.687, -0.609, -1.727], [-1.543, -0.670, 4.423], [-1.157, 7.029, 0.662]], "species": ["Na", "Na", "Cd", "Cd", "Sb", "Sb"], "fractional_positions": [[0.000, 0.500, 0.028], [0.500, 0.500, 0.722], [0.500, 0.000, 0.028], [0.000, 0.500, 0.482], [0.500, 0.500, 0.266], [0.000, 0.000, 0.747]]}

[20]
{"formula": "UCoSi2Ir2", "functional": "GGA-PBE", "state": "optimized geometry", "space_group": "P4/mmm, No. 123", "formation_energy_uncorrected_ev_per_atom": -0.2292, "lattice_angstrom": [[4.290, 0.000, 0.000], [0.000, 4.290, 0.000], [0.000, 0.000, 5.319]], "species": ["U", "Ir", "Ir", "Co", "Si", "Si"], "fractional_positions": [[0.000, 0.000, 0.500], [0.500, 0.500, 0.741], [0.500, 0.500, 0.259], [0.000, 0.000, 0.000], [0.000, 0.500, 0.000], [0.500, 0.000, 0.000]]}

[21]
{"formula": "Ba3InW", "functional": "GGA-PBE", "state": "optimized geometry", "space_group": "Pm-3m, No. 221", "relative_energy_mev_per_atom": 0, "delta_e_f_mev_per_atom": 811, "lattice_angstrom": [[6.026, 0.000, 0.000], [0.000, 6.026, 0.000], [0.000, 0.000, 6.026]], "species": ["Ba", "Ba", "Ba", "W", "In"], "fractional_positions": [[0.000, 0.000, 0.500], [0.500, 0.000, 0.000], [0.000, 0.500, 0.000], [0.000, 0.000, 0.000], [0.500, 0.500, 0.500]]}